First-principles (GGA-PBE) data for crystalline Mg2CuSe2 at its relaxed geometry, as listed in Alexandria.

Lattice parameters (Å, degrees): 4.836 4.836 12.387 90.00 90.00 90.53
Fractional positions:
1 Mg 0.238 0.238 0.000
2 Mg 0.762 0.762 0.500
3 Mg 0.762 0.762 0.000
4 Mg 0.238 0.238 0.500
5 Cu 0.067 0.933 0.250
6 Cu 0.933 0.067 0.750
7 Se 0.741 0.259 0.588
8 Se 0.259 0.741 0.088
9 Se 0.741 0.259 0.912
10 Se 0.259 0.741 0.412

**Excess energy over the best structure of this formula in the dataset**: 0.2749 eV per atom
**E_form (uncorrected)**: -0.4212 eV/atom
**Space group**: Cmcm

First-principles (GGA-PBE) data for crystalline Rb2ZrSnBr6 at its relaxed geometry, as listed in Alexandria.

Lattice parameters (Å, degrees): 8.125 8.125 8.141 60.06 60.06 90.00
Fractional positions:
1 Rb 0.750 0.250 0.500
2 Rb 0.250 0.750 0.500
3 Br 0.262 0.262 0.477
4 Br 0.738 0.738 0.523
5 Br 0.261 0.261 0.000
6 Br 0.739 0.739 0.000
7 Br 0.739 0.261 0.000
8 Br 0.261 0.739 0.000
9 Sn 0.000 0.000 0.000
10 Zr 0.500 0.500 0.000

**E_form (uncorrected)**: -1.1652 eV/atom
**Space group**: I4/mmm

First-principles (GGA-PBE) data for crystalline AcTl2PtO6 at its relaxed geometry, as listed in Alexandria.

Lattice parameters (Å, degrees): 5.856 6.138 8.498 90.00 90.18 90.00
Fractional positions:
1 Ac 0.500 0.000 0.000
2 Ac 0.000 0.500 0.500
3 Tl 0.010 0.971 0.268
4 Tl 0.510 0.529 0.768
5 Tl 0.990 0.029 0.732
6 Tl 0.490 0.471 0.232
7 Pt 0.500 0.000 0.500
8 Pt 0.000 0.500 0.000
9 O 0.283 0.674 0.038
10 O 0.783 0.827 0.538
11 O 0.717 0.326 0.962
12 O 0.217 0.173 0.462
13 O 0.326 0.744 0.405
14 O 0.826 0.756 0.905
15 O 0.674 0.256 0.595
16 O 0.174 0.244 0.095
17 O 0.876 0.595 0.213
18 O 0.376 0.905 0.713
19 O 0.124 0.405 0.787
20 O 0.624 0.095 0.287

**E_form (uncorrected)**: -1.2425 eV/atom
**Space group**: P2_1/c

First-principles (GGA-PBE) data for crystalline AcCeSe4 at its relaxed geometry, as listed in Alexandria.

Lattice parameters (Å, degrees): 7.403 8.056 7.889 115.70 112.67 99.45
Fractional positions:
1 Ac 0.380 0.630 0.260
2 Ac 0.620 0.370 0.740
3 Ce 0.235 0.985 0.970
4 Ce 0.765 0.015 0.030
5 Se 0.983 0.211 0.865
6 Se 0.795 0.689 0.651
7 Se 0.382 0.654 0.865
8 Se 0.355 0.962 0.651
9 Se 0.645 0.038 0.349
10 Se 0.618 0.346 0.135
11 Se 0.205 0.311 0.349
12 Se 0.017 0.789 0.135

**E_form (uncorrected)**: -1.5361 eV/atom
**Space group**: C2/c

First-principles (GGA-PBE) data for crystalline Th4BiPd15 at its relaxed geometry, as listed in Alexandria.

Lattice parameters (Å, degrees): 4.212 4.212 21.012 90.00 90.00 90.00
Fractional positions:
1 Th 0.000 0.000 0.196
2 Th 0.000 0.000 0.399
3 Th 0.000 0.000 0.601
4 Th 0.000 0.000 0.804
5 Bi 0.000 0.000 0.000
6 Pd 0.500 0.500 0.000
7 Pd 0.500 0.500 0.201
8 Pd 0.500 0.500 0.400
9 Pd 0.500 0.500 0.600
10 Pd 0.500 0.500 0.799
11 Pd 0.500 0.000 0.101
12 Pd 0.500 0.000 0.300
13 Pd 0.500 0.000 0.500
14 Pd 0.500 0.000 0.700
15 Pd 0.500 0.000 0.899
16 Pd 0.000 0.500 0.101
17 Pd 0.000 0.500 0.300
18 Pd 0.000 0.500 0.500
19 Pd 0.000 0.500 0.700
20 Pd 0.000 0.500 0.899

**E_form**: -0.7943 eV per atom
**Space group**: P4/mmm

First-principles (GGA-PBE) data for crystalline BeRe2Pb at its relaxed geometry, as listed in Alexandria.

Lattice parameters (Å, degrees): 4.002 4.002 9.522 77.87 77.87 90.00
Fractional positions:
1 Pb 0.000 0.000 0.000
2 Pb 0.750 0.250 0.500
3 Re 0.542 0.125 0.250
4 Re 0.208 0.625 0.250
5 Re 0.375 0.458 0.750
6 Re 0.875 0.792 0.750
7 Be 0.500 0.500 0.000
8 Be 0.250 0.750 0.500

**E_form**: 0.8413 eV per atom
**Excess energy over the best structure of this formula in the dataset**: 0.5159 eV per atom
**Space group**: I-42d

First-principles (GGA-PBE) data for crystalline NdErHgAu at its relaxed geometry, as listed in Alexandria.

Lattice parameters (Å, degrees): 3.682 3.682 7.494 90.00 90.00 90.00
Fractional positions:
1 Nd 0.500 0.500 0.114
2 Er 0.500 0.500 0.592
3 Hg 0.000 0.000 0.838
4 Au 0.000 0.000 0.384

**E_form**: -0.6482 eV per atom
**Excess energy over the best structure of this formula in the dataset**: 0.0000 eV per atom
**Space group**: P4mm

| no. | D(E_F) (states/eV per cell) |
| --- | --- |
| 1 | 4.4 |
| 2 | 8.0 |
| 3 | 5.5 |
| 4 | 9.1 |
| 5 | 5.5 |
| 6 | 3.9 |
| 7 | 3.8 |